# 1
Entry from Alexandria: crystalline SmMg2Sc2 at its relaxed geometry (PBE-GGA).

Structure (POSCAR):
```
SmMg2Sc2
1.0
3.5761 0.0000 0.0000
0.0000 5.2966 0.0000
-1.7877 0.0000 13.4976
Sm Mg Sc
2 4 4
direct
0.1530 0.2500 0.3069
0.8470 0.7500 0.6931
0.3608 0.2500 0.7199
0.4500 0.7500 0.9011
0.5500 0.2500 0.0989
0.6392 0.7500 0.2801
0.0449 0.7500 0.0901
0.2376 0.7500 0.4752
0.7624 0.2500 0.5248
0.9551 0.2500 0.9099
```

Calculated values
For the formation energy, the calculation gives -0.115 eV/f.u. As for the total moment: 0.0000 μB per atom.

# 2
Entry from Alexandria: crystalline Sm7Mg2Sc at its relaxed geometry (PBE-GGA).

Structure (POSCAR):
```
Sm7Mg2Sc
1.0
4.4325 -8.3228 0.0000
4.4325 8.3228 0.0000
0.0000 0.0000 5.1223
Sm Mg Sc
7 2 1
direct
0.0000 0.0000 0.0000
0.2070 0.4275 0.0000
0.2929 0.7071 0.5000
0.4275 0.2070 0.0000
0.5725 0.7930 0.0000
0.7071 0.2929 0.5000
0.7930 0.5725 0.0000
0.1984 0.8016 0.0000
0.8016 0.1984 0.0000
0.5000 0.5000 0.5000
```

Calculated values
For the formation energy, the calculation gives 5.511 eV/f.u. As for the total moment: 0.0000 μB per atom.

# 3
Entry from Alexandria: crystalline Sm2Mg9Sc at its relaxed geometry (PBE-GGA).

Structure (POSCAR):
```
Sm2Mg9Sc
1.0
3.0078 1.7366 9.7507
-3.0078 1.7366 9.7507
0.0000 -3.4731 9.7507
Sm Mg Sc
2 9 1
direct
0.1417 0.1417 0.1417
0.8583 0.8583 0.8583
0.0791 0.5851 0.5851
0.3340 0.3340 0.3340
0.4149 0.4149 0.9209
0.4149 0.9209 0.4149
0.5000 0.5000 0.5000
0.5851 0.0791 0.5851
0.5851 0.5851 0.0791
0.6660 0.6660 0.6660
0.9209 0.4149 0.4149
0.0000 0.0000 0.0000
```

Calculated values
For the formation energy, the calculation gives 0.166 eV/f.u. As for the total moment: 0.0002 μB per atom.

# 4
Entry from Alexandria: crystalline Sm2Mg2Sc at its relaxed geometry (PBE-GGA).

Structure (POSCAR):
```
Sm2Mg2Sc
1.0
5.1129 0.0000 0.0000
0.0000 6.6831 0.0000
0.0000 0.0000 8.4097
Sm Mg Sc
4 4 2
direct
0.0000 0.0000 0.1948
0.0000 0.0000 0.8052
0.5000 0.5000 0.3052
0.5000 0.5000 0.6948
0.0000 0.2807 0.5000
0.0000 0.7193 0.5000
0.5000 0.2193 0.0000
0.5000 0.7807 0.0000
0.0000 0.5000 0.0000
0.5000 0.0000 0.5000
```

Calculated values
For the formation energy, the calculation gives 0.385 eV/f.u. As for the total moment: 0.0002 μB per atom.

# 5
Entry from Alexandria: crystalline Sm8Mg2Sc at its relaxed geometry (PBE-GGA).

Structure (POSCAR):
```
Sm8Mg2Sc
1.0
4.4081 -7.8356 0.0000
4.4081 7.8356 0.0000
-2.5897 0.0000 5.0940
Sm Mg Sc
8 2 1
direct
0.0986 0.3214 0.6339
0.2072 0.7928 0.0000
0.3214 0.0986 0.6339
0.4008 0.4008 0.2032
0.5992 0.5992 0.7968
0.6786 0.9014 0.3661
0.7928 0.2072 0.0000
0.9014 0.6786 0.3661
0.3055 0.6945 0.5000
0.6945 0.3055 0.5000
0.0000 0.0000 0.0000
```

Calculated values
For the excess energy over the best structure of this formula in the dataset, the calculation gives 107 meV/atom. For the formation energy, the calculation gives 1.371 eV/f.u. As for the total moment: 0.0000 μB per atom.

# 6
Entry from Alexandria: crystalline SmMg3Sc2 at its relaxed geometry (PBE-GGA).

Structure (POSCAR):
```
SmMg3Sc2
1.0
3.6661 0.0000 0.0000
0.0000 3.6661 0.0000
0.0000 0.0000 11.1516
Sm Mg Sc
1 3 2
direct
0.0000 0.0000 0.0000
0.5000 0.5000 0.1875
0.5000 0.5000 0.5000
0.5000 0.5000 0.8125
0.0000 0.0000 0.3420
0.0000 0.0000 0.6580
```

Calculated values
For the formation energy, the calculation gives -0.287 eV/f.u. As for the total moment: 0.0002 μB per atom.

# 7
Entry from Alexandria: crystalline SmMg3Sc at its relaxed geometry (PBE-GGA).

Structure (POSCAR):
```
SmMg3Sc
1.0
5.3409 0.0000 0.0000
0.0000 6.4758 0.0000
-2.5575 0.0000 7.4150
Sm Mg Sc
2 6 2
direct
0.1039 0.2500 0.1970
0.8961 0.7500 0.8030
0.1220 0.7500 0.2614
0.3104 0.5064 0.6213
0.3104 0.9936 0.6213
0.6896 0.0064 0.3787
0.6896 0.4936 0.3787
0.8780 0.2500 0.7386
0.4958 0.2500 0.9724
0.5042 0.7500 0.0276
```

Calculated values
For the excess energy over the best structure of this formula in the dataset, the calculation gives 0 meV/atom. For the formation energy, the calculation gives 0.238 eV/f.u. As for the total moment: 0.0000 μB per atom.

# 8
Entry from Alexandria: crystalline Sm2Mg6Sc at its relaxed geometry (PBE-GGA).

Structure (POSCAR):
```
Sm2Mg6Sc
1.0
9.0572 0.0000 0.0000
-4.5286 7.8437 0.0000
0.0000 0.0000 3.2472
Sm Mg Sc
2 6 1
direct
0.3333 0.6667 0.0000
0.6667 0.3333 0.0000
0.0000 0.3261 0.5000
0.0000 0.6739 0.5000
0.3261 0.0000 0.5000
0.3261 0.3261 0.5000
0.6739 0.0000 0.5000
0.6739 0.6739 0.5000
0.0000 0.0000 0.0000
```

Calculated values
For the formation energy, the calculation gives -0.552 eV/f.u. As for the total moment: 0.0000 μB per atom.

# 9
Entry from Alexandria: crystalline Sm2Mg3Sc at its relaxed geometry (PBE-GGA).

Structure (POSCAR):
```
Sm2Mg3Sc
1.0
3.7517 0.0000 0.0000
0.0000 3.7517 0.0000
0.0000 0.0000 11.3854
Sm Mg Sc
2 3 1
direct
0.0000 0.0000 0.1748
0.0000 0.0000 0.8252
0.5000 0.5000 0.0000
0.5000 0.5000 0.3522
0.5000 0.5000 0.6478
0.0000 0.0000 0.5000
```

Calculated values
For the formation energy, the calculation gives -0.406 eV/f.u. As for the total moment: 0.0000 μB per atom.

# 10
Entry from Alexandria: crystalline SmMg3Sc at its relaxed geometry (PBE-GGA).

Structure (POSCAR):
```
SmMg3Sc
1.0
-2.8556 3.9454 6.0436
2.8556 -3.9454 6.0436
2.8556 3.9454 -6.0436
Sm Mg Sc
2 6 2
direct
0.0000 0.0000 0.0000
0.5000 0.0000 0.5000
0.0000 0.0000 0.5000
0.0000 0.5000 0.0000
0.2595 0.6926 0.5669
0.3743 0.3074 0.0669
0.6257 0.6926 0.9331
0.7405 0.3074 0.4331
0.2216 0.4716 0.7500
0.7784 0.5284 0.2500
```

Calculated values
For the excess energy over the best structure of this formula in the dataset, the calculation gives 111 meV/atom. For the formation energy, the calculation gives 0.793 eV/f.u. As for the total moment: 0.0003 μB per atom.

# 11
Entry from Alexandria: crystalline Sm7Mg2Sc2 at its relaxed geometry (PBE-GGA).

Structure (POSCAR):
```
Sm7Mg2Sc2
1.0
4.5007 -4.6513 0.0000
4.5007 4.6513 0.0000
-1.5371 0.0000 8.0207
Sm Mg Sc
7 2 2
direct
0.0000 0.0000 0.0000
0.0916 0.4679 0.8030
0.1593 0.1593 0.4233
0.4679 0.0916 0.8030
0.5321 0.9084 0.1970
0.8407 0.8407 0.5767
0.9084 0.5321 0.1970
0.3986 0.3986 0.1537
0.6014 0.6014 0.8463
0.3291 0.6709 0.5000
0.6709 0.3291 0.5000
```

Calculated values
For the formation energy, the calculation gives 0.818 eV/f.u. As for the total moment: 0.0001 μB per atom.

# 12
Entry from Alexandria: crystalline SmMg6Sc5 at its relaxed geometry (PBE-GGA).

Structure (POSCAR):
```
SmMg6Sc5
1.0
4.4625 -7.7071 0.0000
4.4625 7.7071 0.0000
-2.9520 0.0000 4.2047
Sm Mg Sc
1 6 5
direct
0.0000 0.0000 0.0000
0.0858 0.4272 0.2568
0.2633 0.2633 0.7635
0.4272 0.0858 0.2568
0.5728 0.9142 0.7432
0.7367 0.7367 0.2365
0.9142 0.5728 0.7432
0.1643 0.8357 0.5000
0.3333 0.6667 0.0000
0.5000 0.5000 0.5000
0.6667 0.3333 0.0000
0.8357 0.1643 0.5000
```

Calculated values
For the formation energy, the calculation gives -0.469 eV/f.u. As for the total moment: 0.0001 μB per atom.

# 13
Entry from Alexandria: crystalline SmMgSc at its relaxed geometry (PBE-GGA).

Structure (POSCAR):
```
SmMgSc
1.0
3.3068 0.0000 0.0000
0.0000 5.2963 0.0000
-0.0357 0.0000 9.2778
Sm Mg Sc
2 2 2
direct
0.0043 0.0000 0.0810
0.9957 0.5000 0.9190
0.0069 0.5026 0.5787
0.9931 0.0026 0.4213
0.4987 0.0006 0.7385
0.5013 0.5006 0.2615
```

Calculated values
For the excess energy over the best structure of this formula in the dataset, the calculation gives 108 meV/atom. For the formation energy, the calculation gives 0.244 eV/f.u. As for the total moment: 0.0000 μB per atom.

# 14
Entry from Alexandria: crystalline Sm3MgSc3 at its relaxed geometry (PBE-GGA).

Structure (POSCAR):
```
Sm3MgSc3
1.0
9.1939 0.0000 0.0000
-4.5970 7.9622 0.0000
0.0000 0.0000 5.4168
Sm Mg Sc
6 2 6
direct
0.0990 0.4629 0.2500
0.3639 0.9010 0.2500
0.4629 0.3639 0.7500
0.5371 0.6361 0.2500
0.6361 0.0990 0.7500
0.9010 0.5371 0.7500
0.3333 0.6667 0.7500
0.6667 0.3333 0.2500
0.0491 0.2251 0.7500
0.1760 0.9509 0.7500
0.2251 0.1760 0.2500
0.7749 0.8240 0.7500
0.8240 0.0491 0.2500
0.9509 0.7749 0.2500
```

Calculated values
For the formation energy, the calculation gives 0.183 eV/f.u. As for the total moment: 0.0468 μB per atom.

# 15
Entry from Alexandria: crystalline Sm2MgSc3 at its relaxed geometry (PBE-GGA).

Structure (POSCAR):
```
Sm2MgSc3
1.0
8.0563 -2.6692 0.0000
8.0563 2.6692 0.0000
-5.4255 0.0000 7.6254
Sm Mg Sc
4 2 6
direct
0.0372 0.0372 0.2158
0.3072 0.3072 0.4833
0.6928 0.6928 0.5167
0.9628 0.9628 0.7842
0.3803 0.3803 0.9043
0.6197 0.6197 0.0957
0.1329 0.1329 0.6450
0.2135 0.2135 0.0507
0.4434 0.4434 0.2943
0.5566 0.5566 0.7057
0.7865 0.7865 0.9493
0.8671 0.8671 0.3550
```

Calculated values
For the formation energy, the calculation gives 0.381 eV/f.u. As for the total moment: 0.0001 μB per atom.

# 16
Entry from Alexandria: crystalline Sm8Mg2Sc at its relaxed geometry (PBE-GGA).

Structure (POSCAR):
```
Sm8Mg2Sc
1.0
8.8528 -2.5209 0.0000
8.8528 2.5209 0.0000
-2.4071 0.0000 7.6578
Sm Mg Sc
8 2 1
direct
0.0487 0.0487 0.2351
0.1373 0.1373 0.6908
0.3177 0.3177 0.5712
0.4074 0.4074 0.0466
0.5926 0.5926 0.9534
0.6823 0.6823 0.4288
0.8627 0.8627 0.3092
0.9513 0.9513 0.7649
0.2270 0.2270 0.1327
0.7730 0.7730 0.8673
0.5000 0.5000 0.5000
```

Calculated values
For the excess energy over the best structure of this formula in the dataset, the calculation gives 0 meV/atom. For the formation energy, the calculation gives 0.190 eV/f.u. As for the total moment: 0.0000 μB per atom.

# 17
Entry from Alexandria: crystalline Sm2Mg8Sc at its relaxed geometry (PBE-GGA).

Structure (POSCAR):
```
Sm2Mg8Sc
1.0
8.0094 -2.5037 0.0000
8.0094 2.5037 0.0000
-2.0702 0.0000 6.8590
Sm Mg Sc
2 8 1
direct
0.2218 0.2218 0.1483
0.7782 0.7782 0.8517
0.0237 0.0237 0.2236
0.1404 0.1404 0.6417
0.3308 0.3308 0.6122
0.4134 0.4134 0.0505
0.5866 0.5866 0.9495
0.6692 0.6692 0.3878
0.8596 0.8596 0.3583
0.9763 0.9763 0.7764
0.5000 0.5000 0.5000
```

Calculated values
For the formation energy, the calculation gives -0.391 eV/f.u. As for the total moment: 0.0000 μB per atom.

# 18
Entry from Alexandria: crystalline SmMg5Sc2 at its relaxed geometry (PBE-GGA).

Structure (POSCAR):
```
SmMg5Sc2
1.0
5.1570 0.0000 0.0000
0.0000 5.1570 0.0000
0.0000 0.0000 14.5834
Sm Mg Sc
2 10 4
direct
0.0000 0.0000 0.0000
0.5000 0.5000 0.5000
0.0000 0.0000 0.5000
0.0000 0.5000 0.1305
0.0000 0.5000 0.3695
0.0000 0.5000 0.6305
0.0000 0.5000 0.8695
0.5000 0.0000 0.1305
0.5000 0.0000 0.3695
0.5000 0.0000 0.6305
0.5000 0.0000 0.8695
0.5000 0.5000 0.0000
0.0000 0.0000 0.2563
0.0000 0.0000 0.7437
0.5000 0.5000 0.2437
0.5000 0.5000 0.7563
```

Calculated values
For the formation energy, the calculation gives -0.483 eV/f.u. As for the total moment: 0.0605 μB per atom.

# 19
Entry from Alexandria: crystalline Sm5Mg6Sc at its relaxed geometry (PBE-GGA).

Structure (POSCAR):
```
Sm5Mg6Sc
1.0
8.4853 -3.8361 0.0000
8.4853 3.8361 0.0000
-1.6879 0.0000 5.0904
Sm Mg Sc
5 6 1
direct
0.0000 0.0000 0.0000
0.1666 0.1666 0.6663
0.3318 0.3318 0.3320
0.6682 0.6682 0.6680
0.8334 0.8334 0.3337
0.0954 0.5810 0.8387
0.2645 0.7355 0.5000
0.4190 0.9046 0.1613
0.5810 0.0954 0.8387
0.7355 0.2645 0.5000
0.9046 0.4190 0.1613
0.5000 0.5000 0.0000
```

Calculated values
For the formation energy, the calculation gives -0.990 eV/f.u. As for the total moment: 0.0000 μB per atom.

# 20
Entry from Alexandria: crystalline SmMg4Sc3 at its relaxed geometry (PBE-GGA).

Structure (POSCAR):
```
SmMg4Sc3
1.0
5.1713 0.0000 0.0000
0.0000 5.1713 0.0000
0.0000 0.0000 7.3403
Sm Mg Sc
1 4 3
direct
0.0000 0.0000 0.0000
0.0000 0.5000 0.2622
0.0000 0.5000 0.7378
0.5000 0.0000 0.2622
0.5000 0.0000 0.7378
0.0000 0.0000 0.5000
0.5000 0.5000 0.0000
0.5000 0.5000 0.5000
```

Calculated values
For the formation energy, the calculation gives -0.346 eV/f.u. As for the total moment: 0.0000 μB per atom.